(1)
DFT (PBE) results for an optimized crystal structure of LiScTl2Cr.

Formation energy: 0.982 eV/atom

Cell lengths 5.529, 5.529, 5.230 Å; angles 90.00, 90.00, 90.00 degrees
Space group P4/mmm (No. 123)
Asymmetric unit:
Li 0.000 0.000 0.000 (multiplicity 1)
Sc 0.000 0.000 0.500 (multiplicity 1)
Tl 0.000 0.500 0.500 (multiplicity 2)
Cr 0.500 0.500 0.000 (multiplicity 1)

(2)
DFT (PBE) results for an optimized crystal structure of LiZrScCr.

Formation energy: 0.198 eV/atom

Cell lengths 6.672, 6.672, 6.672 Å; angles 90.00, 90.00, 90.00 degrees
Space group F-43m (No. 216)
Asymmetric unit:
Li 0.000 0.000 0.000 (multiplicity 4)
Zr 0.250 0.250 0.250 (multiplicity 4)
Sc 0.250 0.250 0.750 (multiplicity 4)
Cr 0.000 0.000 0.500 (multiplicity 4)

(3)
DFT (PBE) results for an optimized crystal structure of Li2CrSe2.

Formation energy from raw total energies: -0.6851 eV per atom

Cell lengths 6.957, 6.957, 3.813 Å; angles 90.00, 90.00, 90.00 degrees
Space group P4/mbm (No. 127)
Asymmetric unit:
Li 0.137 0.363 0.000 (multiplicity 4)
Cr 0.000 0.000 0.500 (multiplicity 2)
Se 0.175 0.675 0.500 (multiplicity 4)

(4)
DFT (PBE) results for an optimized crystal structure of LiCr2Se.

Formation energy from raw total energies: -0.0237 eV per atom

Cell lengths 3.667, 3.109, 5.902 Å; angles 90.00, 107.89, 90.00 degrees
Space group Pm (No. 6)
Asymmetric unit:
Li 0.000 0.000 0.000 (multiplicity 1)
Cr 0.256 0.000 0.514 (multiplicity 1)
Cr 0.658 0.500 0.316 (multiplicity 1)
Se 0.428 0.500 0.854 (multiplicity 1)

(5)
DFT (PBE) results for an optimized crystal structure of LiCr2Se.

Formation energy from raw total energies: -0.0048 eV per atom

Cell lengths 3.341, 3.341, 5.358 Å; angles 90.00, 90.00, 90.00 degrees
Space group P4mm (No. 99)
Asymmetric unit:
Li 0.000 0.000 0.000 (multiplicity 1)
Cr 0.000 0.000 0.502 (multiplicity 1)
Cr 0.500 0.500 0.707 (multiplicity 1)
Se 0.500 0.500 0.211 (multiplicity 1)

(6)
DFT (PBE) results for an optimized crystal structure of LiCrSe.

Formation energy from raw total energies: -0.4306 eV per atom
Relative energy among the computed polymorphs: 0 meV/atom

Cell lengths 3.763, 3.763, 6.463 Å; angles 90.00, 90.00, 90.00 degrees
Space group P4/nmm (No. 129, origin choice 2)
Asymmetric unit:
Li 0.250 0.250 0.163 (multiplicity 2)
Cr 0.250 0.750 0.500 (multiplicity 2)
Se 0.250 0.250 0.751 (multiplicity 2)

(7)
DFT (PBE) results for an optimized crystal structure of LiCrSe3.

Formation energy from raw total energies: -0.1426 eV per atom
Relative energy among the computed polymorphs: 458 meV/atom

Cell lengths 6.7710, 6.7710, 11.3477 Å; angles 90.00, 90.00, 120.00 degrees
Space group R3m (No. 160, hexagonal axes)
Asymmetric unit:
Li 0.0000 0.0000 0.0000 (multiplicity 3)
Cr 0.0000 0.0000 0.7547 (multiplicity 3)
Se 0.1742 0.3484 0.8348 (multiplicity 9)

(8)
DFT (PBE) results for an optimized crystal structure of LiCrSe3.

Formation energy from raw total energies: -0.5205 eV per atom
Relative energy among the computed polymorphs: 80 meV/atom

Cell lengths 11.820, 12.318, 5.639 Å; angles 90.00, 110.31, 90.00 degrees
Space group C2/c (No. 15)
Asymmetric unit:
Li 0.113 0.088 0.185 (multiplicity 8)
Cr 0.000 0.325 0.750 (multiplicity 4)
Cr 0.000 0.452 0.250 (multiplicity 4)
Se 0.100 0.134 0.712 (multiplicity 8)
Se 0.125 0.299 0.177 (multiplicity 8)
Se 0.148 0.432 0.679 (multiplicity 8)